(1)
Here is a geometry-optimized MgTe2Ir structure from Alexandria. Energies are from GGA-PBE.

abc: 7.7106 7.7106 7.7106
angles: 132.74 132.74 69.06
Element x y z (fractional)
Mg  0.0000  0.0000  0.0000
Mg  0.7500  0.2500  0.5000
Te  0.1619  0.6250  0.0369
Te  0.3750  0.4119  0.5369
Te  0.5881  0.1250  0.9631
Te  0.8750  0.8381  0.4631
Ir  0.2500  0.7500  0.5000
Ir  0.5000  0.5000  0.0000

## Properties
Its crystal system is tetragonal. As for the energy: -34.23 eV/cell. For the uncorrected formation energy, the calculation gives -0.09 eV per atom.



(2)
Here is a geometry-optimized MgTeIr2 structure from Alexandria. Energies are from GGA-PBE.

abc: 7.0638 7.0638 7.0638
angles: 129.79 129.79 73.74
Element x y z (fractional)
Mg  0.0000  0.0000  0.0000
Mg  0.7500  0.2500  0.5000
Te  0.2500  0.7500  0.5000
Te  0.5000  0.5000  0.0000
Ir  0.1370  0.6250  0.0120
Ir  0.3750  0.3870  0.5120
Ir  0.6130  0.1250  0.9880
Ir  0.8750  0.8630  0.4880

## Properties
Its crystal system is tetragonal. As for the energy: -39.77 eV/cell. For the uncorrected formation energy, the calculation gives 0.64 eV per atom. The energy above the most stable polymorph in this dataset is 666 meV/atom.



(3)
Here is a geometry-optimized MgTeIr structure from Alexandria. Energies are from GGA-PBE.

abc: 4.4516 4.4516 4.4516
angles: 60.00 60.00 60.00
Element x y z (fractional)
Mg  0.0000  0.0000  0.0000
Te  0.5000  0.5000  0.5000
Ir  0.2500  0.2500  0.2500

## Properties
Its crystal system is cubic. As for the energy: -14.60 eV/cell. For the uncorrected formation energy, the calculation gives -0.33 eV per atom. The energy above the most stable polymorph in this dataset is 0 meV/atom.